Here is a relaxed Pu2AlCo crystal from the Alexandria database. Energies are from GGA-PBE.

Cell: 3.6686 3.6686 5.8437 Å, 90.00 90.00 90.00°
Sites, in units of the cell vectors:
Al 0.5000 0.5000 0.5000
Co 0.5000 0.5000 0.0000
Pu 0.0000 0.0000 0.2350
Pu 0.0000 0.0000 0.7650

Computed properties:
final energy = -0.36356 Ha/atom
magnetization = 9.98 μB/cell